The following is a DFT calculation (PBE) of an optimized crystal structure of Ac2Zn4Ir3Pd.

Results
As for the formation energy: -481 meV/atom. Its symmetry is P-4m2 (115).

a = 4.3159 Å, b = 4.3159 Å, c = 10.7102 Å
α = 90.00°, β = 90.00°, γ = 90.00°
Fractional coordinates of all 10 atoms:
Ir (0.0000, 0.0000, 0.5000)
Ir (0.0000, 0.5000, 0.1357)
Ir (0.5000, 0.0000, 0.8643)
Ac (0.0000, 0.5000, 0.7469)
Ac (0.5000, 0.0000, 0.2531)
Pd (0.5000, 0.5000, 0.5000)
Zn (0.5000, 0.5000, 0.0000)
Zn (0.5000, 0.0000, 0.6280)
Zn (0.0000, 0.5000, 0.3720)
Zn (0.0000, 0.0000, 0.0000)